Computed, not measured: a relaxed structure of AlSn4Te6 at the PBE level of DFT.

Calculated values
SG: Cc, No. 9

```
AlSn4Te6
1.0
8.121 -4.093 0.000
8.121 4.093 0.000
-6.658 0.000 12.454
Al Sn Te
2 8 12
direct
0.217 0.783 0.500
0.783 0.217 0.000
0.087 0.744 0.733
0.176 0.365 0.236
0.365 0.176 0.736
0.374 0.693 0.091
0.693 0.374 0.591
0.710 0.743 0.429
0.743 0.710 0.929
0.744 0.087 0.233
0.024 0.708 0.135
0.114 0.989 0.955
0.135 0.525 0.461
0.350 0.841 0.707
0.490 0.560 0.396
0.507 0.962 0.265
0.525 0.135 0.961
0.560 0.490 0.896
0.708 0.024 0.635
0.841 0.350 0.207
0.962 0.507 0.765
0.989 0.114 0.455
```

***

Computed, not measured: a relaxed structure of Al4SnTe7 at the PBE level of DFT.

Calculated values
SG: Pmn2_1, No. 31

```
Al4SnTe7
1.0
16.856 0.000 0.000
0.000 7.338 0.000
0.000 0.000 6.905
Al Sn Te
8 2 14
direct
0.125 0.162 0.000
0.247 0.679 0.992
0.253 0.321 0.492
0.375 0.838 0.500
0.625 0.838 0.500
0.747 0.321 0.492
0.753 0.679 0.992
0.875 0.162 0.000
0.000 0.447 0.463
0.500 0.553 0.963
0.000 0.365 0.901
0.119 0.154 0.389
0.119 0.832 0.867
0.241 0.671 0.383
0.259 0.329 0.883
0.381 0.168 0.367
0.381 0.846 0.889
0.500 0.635 0.401
0.619 0.168 0.367
0.619 0.846 0.889
0.741 0.329 0.883
0.759 0.671 0.383
0.881 0.154 0.389
0.881 0.832 0.867
```

***

Computed, not measured: a relaxed structure of AlSnTe3 at the PBE level of DFT.

Calculated values
Distance to the lowest polymorph of the same formula in meV per atom: 304
SG: Pm-3m, No. 221

```
AlSnTe3
1.0
5.358 0.000 0.000
0.000 5.358 0.000
0.000 0.000 5.358
Al Sn Te
1 1 3
direct
0.000 0.000 0.000
0.500 0.500 0.500
0.000 0.000 0.500
0.000 0.500 0.000
0.500 0.000 0.000
```

***

The energy relative to the elements, uncorrected results, record by record, are as follows: -225.7, -393.7, 106.2 meV per atom.
The spin magnetization results, record by record, are as follows: 0.00, 0.00, 0.00 μB per cell.